Density functional theory data (PBE) for crystalline Tm6Tc2Rh at its relaxed geometry.

Calculated values
* symmetry: Immm
* DFT formation energy: -275 meV/atom
* total magnetic moment: 0.0 μB per cell

Lattice parameters (Å, degrees): 8.220 8.220 8.220 108.85 110.57 109.00
Positions (direct):
1 Tm 0.580 0.752 0.828
2 Tm 0.924 0.752 0.172
3 Tm 0.805 0.273 0.079
4 Tm 0.420 0.248 0.172
5 Tm 0.306 0.641 0.335
6 Tm 0.694 0.359 0.665
7 Tm 0.195 0.273 0.468
8 Tm 0.195 0.727 0.921
9 Tm 0.306 0.971 0.665
10 Tm 0.805 0.727 0.532
11 Tm 0.694 0.029 0.335
12 Tm 0.076 0.248 0.828
13 Rh 0.000 0.500 0.500
14 Rh 0.000 0.000 0.000
15 Tc 0.671 0.000 0.671
16 Tc 0.500 0.380 0.880
17 Tc 0.329 0.000 0.329
18 Tc 0.500 0.620 0.120